Entry from the Alexandria database: Tm5Bi2PC after structural relaxation (PBE-GGA).

Results
As for the spin magnetization: 0.0 Bohr magnetons per cell.

The structure in CIF format:
```
data_Tm5Bi2PC
_chemical_formula_sum 'Tm5 Bi2 P1 C1'
_cell_length_a 4.580
_cell_length_b 4.580
_cell_length_c 10.796
_cell_angle_alpha 90.00
_cell_angle_beta 90.00
_cell_angle_gamma 90.00
_symmetry_space_group_name_H-M 'P 1'
_symmetry_Int_Tables_number 1
loop_
_symmetry_equiv_pos_as_xyz
'x,y,z'
loop_
_atom_site_label
_atom_site_fract_x
_atom_site_fract_y
_atom_site_fract_z
_atom_site_occupancy
Tm1 0.000 0.000 0.000 1
Tm2 0.000 0.500 0.500 1
Tm3 0.500 0.000 0.500 1
Tm4 0.500 0.500 0.252 1
Tm5 0.500 0.500 0.748 1
Bi1 0.000 0.000 0.285 1
Bi2 0.000 0.000 0.715 1
P1 0.500 0.500 0.000 1
C1 0.500 0.500 0.500 1
```

Entry from the Alexandria database: Pa7Bi2C2 after structural relaxation (PBE-GGA).

Results
As for the spin magnetization: 0.0 Bohr magnetons per cell.

The structure in CIF format:
```
data_Pa7Bi2C2
_chemical_formula_sum 'Pa7 Bi2 C2'
_cell_length_a 9.643
_cell_length_b 9.643
_cell_length_c 9.643
_cell_angle_alpha 160.33
_cell_angle_beta 62.03
_cell_angle_gamma 121.83
_symmetry_space_group_name_H-M 'P 1'
_symmetry_Int_Tables_number 1
loop_
_symmetry_equiv_pos_as_xyz
'x,y,z'
loop_
_atom_site_label
_atom_site_fract_x
_atom_site_fract_y
_atom_site_fract_z
_atom_site_occupancy
Pa1 0.000 0.000 0.000 1
Pa2 0.299 0.451 0.847 1
Pa3 0.335 0.643 0.692 1
Pa4 0.604 0.451 0.153 1
Pa5 0.658 0.309 0.348 1
Pa6 0.951 0.643 0.308 1
Pa7 0.961 0.309 0.652 1
Bi1 0.297 0.797 0.500 1
Bi2 0.661 0.661 0.000 1
C1 0.148 0.902 0.246 1
C2 0.656 0.902 0.754 1
```

Calculated values (eV per atom) of formation energy for the records, taken in order: -0.695 -0.021.
Calculated values (Å³/atom) of V for the records, taken in order: 25.16 23.20.